CaMn4Co2O12 | PBE with a Hubbard U | relaxed

Output
ρ = 4.04 g/cm3
raw total energy = -6.765 eV per atom
energy relative to the lowest polymorph listed for this composition = 0 meV/atom

a b c (Å): 5.0070 5.0121 10.7894
angles (deg): 82.77 88.45 60.69
Last column: nearest neighbours and their distance in Å.
Sites, in units of the cell vectors:
Ca 0.0000 0.0000 0.0000  6 O 2.38-2.44
Mn 0.0448 0.2474 0.2618  6 O 1.91-1.99
Mn 0.3799 0.5781 0.2614  6 O 1.91-1.99
Mn 0.6137 0.1125 0.7373  6 O 1.88-1.99
Mn 0.9443 0.4433 0.7373  6 O 1.88-1.99
Co 0.2783 0.7795 0.7332  5 O 1.90-2.06
Co 0.7098 0.9138 0.2577  6 O 1.92-1.98
O 0.0348 0.6150 0.1634  1 Co 1.96, 2 Mn 1.97-1.99
O 0.0515 0.8840 0.3480  2 Mn 1.92-1.93, 1 Co 1.92
O 0.2743 0.4686 0.6497  1 Co 1.90, 2 Mn 1.91-1.93
O 0.2850 0.0773 0.8327  1 Co 1.96, 2 Mn 1.97-1.99
O 0.3594 0.9454 0.1625  2 Mn 1.97-1.98, 1 Co 1.98
O 0.3898 0.2151 0.3480  2 Mn 1.91-1.92, 1 Co 1.93
O 0.6076 0.8021 0.6497  1 Co 1.90, 2 Mn 1.91-1.93
O 0.6537 0.3799 0.8420  2 Mn 1.94
O 0.7059 0.2740 0.1636  1 Co 1.95, 2 Mn 1.96-1.99
O 0.7203 0.5538 0.3481  2 Mn 1.91-1.92, 1 Co 1.92
O 0.9097 0.1682 0.6435  2 Mn 1.88, 1 Co 2.06
O 0.9586 0.7510 0.8327  1 Co 1.96, 2 Mn 1.97-1.99